No. 1
Computed, not measured: an optimized crystal structure of Ti3BeBi at the GGA-PBE level of DFT.

Calculated values
* polymorph energy (0 for the lowest one): 73 meV per atom
* formation enthalpy at 0 K: 0.07 eV per atom
* size of the total moment: 0.00 μB per formula unit

The structure in extended XYZ format:
```
5
Lattice="4.4604 0.0000 0.0000 0.0000 4.4604 0.0000 0.0000 0.0000 4.4604" Properties=species:S:1:pos:R:3 pbc="T T T"
Be 0.0000 0.0000 0.0000
Bi 2.2302 2.2302 2.2302
Ti 0.0000 2.2302 0.0000
Ti 0.0000 0.0000 2.2302
Ti 2.2302 0.0000 0.0000
```


No. 2
Computed, not measured: an optimized crystal structure of TiBe3Bi at the GGA-PBE level of DFT.

Calculated values
* polymorph energy (0 for the lowest one): 337 meV per atom
* formation enthalpy at 0 K: 1.63 eV per atom
* size of the total moment: 0.00 μB per formula unit

The structure in extended XYZ format:
```
5
Lattice="-2.9381 1.1847 -3.4040 -3.5570 -0.2439 2.9853 0.5820 4.4901 1.0603" Properties=species:S:1:pos:R:3 pbc="T T T"
Be -1.7785 -0.1220 1.4926
Be 0.2910 2.2450 0.5302
Be -1.4691 0.5924 -1.7020
Bi 0.0000 0.0000 0.0000
Ti -2.9566 2.7154 0.3208
```